Record 1
Material: ZrIn5
Method: DFT, PBE
State: relaxed

Unit cell a=3.1837 b=3.1837 c=15.1894 alpha=90.00 beta=90.00 gamma=90.00
Fractional coordinates of all 6 atoms:
In: 0.0000 0.0000 0.1445
In: 0.5000 0.5000 0.3142
In: 0.0000 0.0000 0.5000
In: 0.5000 0.5000 0.6858
Zr: 0.5000 0.5000 0.0000
In: 0.0000 0.0000 0.8555

Properties
Crystal system: tetragonal
Total DFT energy (no corrections), eV/cell: -22.529
Magnetic moment, μB/cell: 0.000
N(E_F), states/eV per atom: 0.382
Excess energy over the best structure of this formula in the dataset, meV per atom: 2

Record 2
Material: Eu2DyAg
Method: DFT, PBE
State: relaxed

Unit cell a=3.7649 b=3.7649 c=9.0843 alpha=90.00 beta=90.00 gamma=90.00
Fractional coordinates of all 4 atoms:
Dy: 0.5000 0.5000 0.5000
Eu: 0.0000 0.0000 0.7903
Ag: 0.5000 0.5000 0.0000
Eu: 0.0000 0.0000 0.2097

Properties
Crystal system: tetragonal
Total DFT energy (no corrections), eV/cell: -28.256
Magnetic moment, μB/cell: 15.206
N(E_F), states/eV per atom: 1.062
Excess energy over the best structure of this formula in the dataset, meV per atom: 0

Record 3
Material: ZrBiC3
Method: DFT, PBE
State: relaxed

Unit cell a=4.3772 b=4.3772 c=4.3772 alpha=90.00 beta=90.00 gamma=90.00
Fractional coordinates of all 5 atoms:
C: 0.5000 0.0000 0.0000
Zr: 0.0000 0.0000 0.0000
Bi: 0.5000 0.5000 0.5000
C: 0.0000 0.5000 0.0000
C: 0.0000 0.0000 0.5000

Properties
Crystal system: cubic
Total DFT energy (no corrections), eV/cell: -30.534
Magnetic moment, μB/cell: 0.000
N(E_F), states/eV per atom: 0.739
Excess energy over the best structure of this formula in the dataset, meV per atom: 0

Record 4
Material: BaTmP
Method: DFT, PBE
State: relaxed

Unit cell a=4.1141 b=4.1151 c=14.5010 alpha=90.00 beta=90.00 gamma=119.99
Fractional coordinates of all 6 atoms:
P: 0.2766 0.5531 0.5000
Tm: 0.6099 0.2198 0.6104
Tm: 0.6099 0.2198 0.3896
Ba: 0.2790 0.5580 0.1324
Ba: 0.2790 0.5580 0.8676
P: 0.6123 0.2245 0.0000

Properties
Crystal system: orthorhombic
Total DFT energy (no corrections), eV/cell: -26.764
Magnetic moment, μB/cell: 1.230
N(E_F), states/eV per atom: 0.936

Record 5
Material: CaZnCl
Method: DFT, PBE
State: relaxed

Unit cell a=4.8501 b=4.8501 c=4.8501 alpha=60.00 beta=60.00 gamma=60.00
Fractional coordinates of all 3 atoms:
Ca: 0.5000 0.5000 0.5000
Cl: 0.2500 0.2500 0.2500
Zn: 0.0000 0.0000 0.0000

Properties
Crystal system: cubic
Total DFT energy (no corrections), eV/cell: -7.000
Uncorrected formation energy, meV per atom: -626
Magnetic moment, μB/cell: 0.000
N(E_F), states/eV per atom: 0.711
Excess energy over the best structure of this formula in the dataset, meV per atom: 289

Record 6
Material: AlSbBr2
Method: DFT, PBE
State: relaxed

Unit cell a=6.1650 b=5.9537 c=3.5808 alpha=72.96 beta=89.16 gamma=120.89
Fractional coordinates of all 4 atoms:
Br: 0.0000 0.0000 0.0000
Sb: 0.0000 0.5000 0.5000
Br: 0.5000 0.0000 0.5000
Al: 0.5000 0.5000 0.0000

Properties
Crystal system: monoclinic
Total DFT energy (no corrections), eV/cell: -11.170
Uncorrected formation energy, meV per atom: 10
Magnetic moment, μB/cell: 0.000
N(E_F), states/eV per atom: 0.573
Excess energy over the best structure of this formula in the dataset, meV per atom: 347

Record 7
Material: Cs2Pu3O10
Method: DFT, PBE
State: relaxed

Unit cell a=6.8461 b=8.6313 c=10.6311 alpha=111.26 beta=108.78 gamma=90.00
Fractional coordinates of all 30 atoms:
O: 0.8607 0.2349 0.7214
O: 0.1441 0.9899 0.8049
O: 0.6608 0.9899 0.8049
O: 0.4776 0.8408 0.9552
O: 0.5224 0.1592 0.0448
O: 0.3434 0.4633 0.2738
Pu: 0.1833 0.0024 0.3666
Pu: 0.7493 0.0000 0.0000
O: 0.6566 0.5367 0.7262
O: 0.1841 0.5000 0.0000
Pu: 0.9231 0.5331 0.8462
O: 0.9762 0.8238 0.9524
O: 0.2227 0.2311 0.4454
Cs: 0.6090 0.7183 0.2179
O: 0.8159 0.5000 0.0000
O: 0.0000 0.0000 0.5000
O: 0.3392 0.0101 0.1951
O: 0.1393 0.7651 0.2786
Cs: 0.2951 0.6883 0.5903
Pu: 0.0769 0.4669 0.1538
Pu: 0.2507 0.0000 0.0000
Cs: 0.7049 0.3117 0.4097
O: 0.0238 0.1762 0.0476
Cs: 0.3910 0.2817 0.7821
O: 0.0696 0.5367 0.7262
O: 0.9304 0.4633 0.2738
Pu: 0.8167 0.9976 0.6334
O: 0.5000 0.0000 0.5000
O: 0.8559 0.0101 0.1951
O: 0.7773 0.7689 0.5546

Properties
Crystal system: monoclinic
Total DFT energy (no corrections), eV/cell: -260.894
Uncorrected formation energy, meV per atom: -2411
Magnetic moment, μB/cell: 3.283
N(E_F), states/eV per atom: 0.641

Record 8
Material: AcSm2Tl2Ag2
Method: DFT, PBE
State: relaxed

Unit cell a=4.9881 b=4.9881 c=9.9070 alpha=75.42 beta=75.42 gamma=60.00
Fractional coordinates of all 7 atoms:
Tl: 0.2537 0.2537 0.2389
Sm: 0.8724 0.8724 0.3827
Ag: 0.4098 0.4098 0.7706
Tl: 0.7463 0.7463 0.7611
Ag: 0.5902 0.5902 0.2294
Ac: 0.0000 0.0000 0.0000
Sm: 0.1276 0.1276 0.6173

Properties
Crystal system: trigonal
Total DFT energy (no corrections), eV/cell: -25.575
Magnetic moment, μB/cell: 0.000
N(E_F), states/eV per atom: 0.572

Question: What is the formula in the second record?
Answer: Eu2DyAg